Compound: Rb4La3DyTe8
Source: Alexandria
Functional: GGA-PBE
Structure: optimized geometry

Unit cell a=10.114 b=10.114 c=10.114 alpha=55.24 beta=55.24 gamma=55.24
Fractional positions:
Rb (0.000, 0.000, 0.000)
Rb (0.000, 0.500, 0.500)
Rb (0.500, 0.000, 0.500)
Rb (0.500, 0.500, 0.000)
La (0.000, 0.000, 0.500)
La (0.000, 0.500, 0.000)
La (0.500, 0.000, 0.000)
Dy (0.500, 0.500, 0.500)
Te (0.236, 0.236, 0.236)
Te (0.245, 0.729, 0.729)
Te (0.271, 0.271, 0.755)
Te (0.271, 0.755, 0.271)
Te (0.729, 0.245, 0.729)
Te (0.729, 0.729, 0.245)
Te (0.755, 0.271, 0.271)
Te (0.764, 0.764, 0.764)

Output
The total energy comes out at -4.4858 eV per atom. Its size of the total moment is 0.00 Bohr magnetons per cell. The space group is R-3m. The theoretical density comes out at 4.96 Mg/m³. For the raw formation energy, the calculation gives -1.462 eV per atom.